Record 1
A relaxed structure of Al2TlAsI, computed with GGA-PBE.

Cell: 4.946 4.946 9.726 Å, 90.00 90.00 90.00°
Space group P4/mmm (No. 123)
Unique sites:
Al 0.000 0.500 0.000 (multiplicity 2)
Tl 0.000 0.000 0.500 (multiplicity 1)
As 0.500 0.500 0.000 (multiplicity 1)
I 0.500 0.500 0.500 (multiplicity 1)

Values from the calculation:
Calculated volume, Å³ per atom: 47.58
Magnetic moment, μB/cell: 0.0
Raw total energy, eV per atom: -2.94
Formation energy from raw total energies, meV/atom: 273.4

=====

Record 2
A relaxed structure of Hg2HPd4, computed with GGA-PBE.

Cell: 3.988 3.988 14.010 Å, 90.00 90.00 90.00°
Space group I4/mmm (No. 139)
Unique sites:
Hg 0.000 0.000 0.156 (multiplicity 4)
H 0.000 0.000 0.500 (multiplicity 2)
Pd 0.000 0.000 0.351 (multiplicity 4)
Pd 0.000 0.500 0.000 (multiplicity 4)

Values from the calculation:
Calculated volume, Å³ per atom: 15.92
Magnetic moment, μB/cell: 0.0
Raw total energy, eV per atom: -3.65

=====

Record 3
A relaxed structure of CdIn2CuPb, computed with GGA-PBE.

Cell: 5.077 5.077 5.417 Å, 90.00 90.00 90.00°
Space group P4/mmm (No. 123)
Unique sites:
Cd 0.000 0.000 0.000 (multiplicity 1)
In 0.000 0.500 0.500 (multiplicity 2)
Cu 0.500 0.500 0.500 (multiplicity 1)
Pb 0.500 0.500 0.000 (multiplicity 1)

Values from the calculation:
Calculated volume, Å³ per atom: 27.93
Magnetic moment, μB/cell: 0.0
Raw total energy, eV per atom: -2.65
Formation enthalpy at 0 K, eV per atom: 0.192

=====

Record 4
A relaxed structure of LiAl2W, computed with GGA-PBE.

Cell: 2.8412 2.8412 27.6055 Å, 90.00 90.00 120.00°
Space group R-3m (No. 166, hexagonal axes)
Unique sites:
Li 0.0000 0.0000 0.0000 (multiplicity 3)
Al 0.0000 0.0000 0.2482 (multiplicity 6)
W 0.0000 0.0000 0.5000 (multiplicity 3)

Values from the calculation:
Calculated volume, Å³ per atom: 16.08
Magnetic moment, μB/cell: 0.0
Raw total energy, eV per atom: -5.60
Formation enthalpy at 0 K, eV per atom: -0.011

=====

Record 5
A relaxed structure of ReBr2, computed with GGA-PBE.

Cell: 9.153 9.153 9.153 Å, 90.00 90.00 90.00°
Space group Fd-3m (No. 227, origin choice 2)
Unique sites:
Re 0.125 0.125 0.125 (multiplicity 8)
Br 0.000 0.000 0.500 (multiplicity 16)

Values from the calculation:
Calculated volume, Å³ per atom: 31.95
Magnetic moment, μB/cell: 55.4
Raw total energy, eV per atom: -2.93
Formation energy from raw total energies, meV/atom: 2334.6

=====

Record 6
A relaxed structure of Np2InAu8, computed with GGA-PBE.

Cell: 14.913 5.021 7.085 Å, 90.00 118.27 90.00°
Space group C2/m (No. 12)
Unique sites:
Np 0.211 0.000 0.211 (multiplicity 4)
In 0.000 0.500 0.500 (multiplicity 2)
Au 0.000 0.000 0.203 (multiplicity 4)
Au 0.128 0.500 0.931 (multiplicity 4)
Au 0.129 0.500 0.327 (multiplicity 4)
Au 0.157 0.000 0.657 (multiplicity 4)

Values from the calculation:
Calculated volume, Å³ per atom: 21.24
Magnetic moment, μB/cell: 15.8
Raw total energy, eV per atom: -5.10
Formation enthalpy at 0 K, eV per atom: -0.111

=====

Record 7
A relaxed structure of LaTb2Pd9, computed with GGA-PBE.

Cell: 4.176 4.176 12.448 Å, 90.00 90.00 90.00°
Space group P4/mmm (No. 123)
Unique sites:
La 0.000 0.000 0.000 (multiplicity 1)
Tb 0.000 0.000 0.337 (multiplicity 2)
Pd 0.000 0.500 0.172 (multiplicity 4)
Pd 0.000 0.500 0.500 (multiplicity 2)
Pd 0.500 0.500 0.000 (multiplicity 1)
Pd 0.500 0.500 0.335 (multiplicity 2)

Values from the calculation:
Calculated volume, Å³ per atom: 18.09
Magnetic moment, μB/cell: 0.0
Raw total energy, eV per atom: -5.92
Formation enthalpy at 0 K, eV per atom: -0.839

=====

Record 8
A relaxed structure of TmPu5Te6, computed with GGA-PBE.

Cell: 7.583 13.137 7.720 Å, 90.00 109.13 90.00°
Space group C2/m (No. 12)
Unique sites:
Tm 0.000 0.000 0.000 (multiplicity 2)
Pu 0.000 0.169 0.500 (multiplicity 4)
Pu 0.000 0.334 0.000 (multiplicity 4)
Pu 0.000 0.500 0.500 (multiplicity 2)
Te 0.244 0.000 0.751 (multiplicity 4)
Te 0.246 0.164 0.246 (multiplicity 8)

Values from the calculation:
Calculated volume, Å³ per atom: 30.27
Magnetic moment, μB/cell: 11.6
Raw total energy, eV per atom: -9.00
Formation energy from raw total energies, meV/atom: -1088.5

=====

Record 9
A relaxed structure of RbTiHg2Br8, computed with GGA-PBE.

Cell: 6.889 7.712 9.484 Å, 67.58 83.95 84.90°
Space group P-1 (No. 2)
Unique sites:
Rb 0.000 0.000 0.000 (multiplicity 1)
Ti 0.000 0.500 0.500 (multiplicity 1)
Hg 0.460 0.529 0.212 (multiplicity 2)
Br 0.133 0.467 0.756 (multiplicity 2)
Br 0.213 0.776 0.353 (multiplicity 2)
Br 0.279 0.276 0.454 (multiplicity 2)
Br 0.456 0.777 0.931 (multiplicity 2)

Values from the calculation:
Calculated volume, Å³ per atom: 38.55
Magnetic moment, μB/cell: 1.0
Raw total energy, eV per atom: -2.81
Formation energy from raw total energies, meV/atom: -906.8

=====

Record 10
A relaxed structure of AlInRuRh2, computed with GGA-PBE.

Cell: 4.710 4.710 5.023 Å, 90.00 90.00 90.00°
Space group P4/mmm (No. 123)
Unique sites:
Al 0.000 0.000 0.000 (multiplicity 1)
In 0.500 0.500 0.000 (multiplicity 1)
Ru 0.500 0.500 0.500 (multiplicity 1)
Rh 0.000 0.500 0.500 (multiplicity 2)

Values from the calculation:
Calculated volume, Å³ per atom: 22.28
Magnetic moment, μB/cell: 0.0
Raw total energy, eV per atom: -5.09
Formation enthalpy at 0 K, eV per atom: 1.001

=====

Record 11
A relaxed structure of LiErC, computed with GGA-PBE.

Cell: 5.625 5.625 5.625 Å, 90.00 90.00 90.00°
Space group F-43m (No. 216)
Unique sites:
Li 0.000 0.000 0.000 (multiplicity 4)
Er 0.000 0.000 0.500 (multiplicity 4)
C 0.250 0.250 0.250 (multiplicity 4)

Values from the calculation:
Calculated volume, Å³ per atom: 14.83
Magnetic moment, μB/cell: 0.0
Raw total energy, eV per atom: -5.40
Formation enthalpy at 0 K, eV per atom: -0.167

=====

Record 12
A relaxed structure of K3TbTl2O6, computed with GGA-PBE.

Cell: 6.043 10.471 6.582 Å, 90.00 107.75 90.00°
Space group C2/m (No. 12)
Unique sites:
K 0.000 0.000 0.000 (multiplicity 2)
K 0.000 0.329 0.000 (multiplicity 4)
Tb 0.000 0.500 0.500 (multiplicity 2)
Tl 0.000 0.166 0.500 (multiplicity 4)
O 0.230 0.335 0.696 (multiplicity 8)
O 0.236 0.000 0.697 (multiplicity 4)

Values from the calculation:
Calculated volume, Å³ per atom: 16.53
Magnetic moment, μB/cell: 0.0
Raw total energy, eV per atom: -5.12
Formation energy from raw total energies, meV/atom: -1588.4

=====

Which formula does entry 10 have?
AlInRuRh2